HfOsBr3 | PBE | relaxed

Cell and atoms, written as CIF:
```
data_HfOsBr3
_chemical_formula_sum 'Hf1 Os1 Br3'
_cell_length_a 4.9938
_cell_length_b 4.9938
_cell_length_c 4.9938
_cell_angle_alpha 90.00
_cell_angle_beta 90.00
_cell_angle_gamma 90.00
_symmetry_space_group_name_H-M 'P 1'
_symmetry_Int_Tables_number 1
loop_
_symmetry_equiv_pos_as_xyz
'x,y,z'
loop_
_atom_site_label
_atom_site_type_symbol
_atom_site_fract_x
_atom_site_fract_y
_atom_site_fract_z
_atom_site_occupancy
Hf1 Hf 0.5000 0.5000 0.5000 1
Os1 Os 0.0000 0.0000 0.0000 1
Br1 Br 0.0000 0.5000 0.0000 1
Br2 Br 0.0000 0.0000 0.5000 1
Br3 Br 0.5000 0.0000 0.0000 1
```

Output
The calculation puts the density of states at the Fermi level at 1.054 states/eV/atom. The space group is Pm-3m, No. 221. The mass density comes out at 8.113 g/cm³. The value obtained for the formation energy (no corrections) is 1037 meV per atom. The value obtained for the energy above the lowest structure with this stoichiometry is 0.2564 eV/atom.